CdRuPb3 | GGA-PBEsol | optimized geometry Values from VASP.

Geometry as Quantum ESPRESSO input:
```
&SYSTEM
  ibrav = 0, nat = 5, ntyp = 3
/
ATOMIC_SPECIES
Cd 112.41 Cd.upf
Ru 101.07 Ru.upf
Pb 207.20 Pb.upf
ATOMIC_POSITIONS crystal
Cd 0.0000 0.0000 0.0000
Ru 0.5000 0.5000 0.5000
Pb 0.0000 0.5000 0.5000
Pb 0.5000 0.0000 0.5000
Pb 0.5000 0.5000 0.0000
CELL_PARAMETERS angstrom
5.2026 0.0000 0.0000
0.0000 5.2026 0.0000
0.0000 0.0000 5.2026
```

Calculated values
- uncorrected energy (eV/f.u.) = -21.59
- formation energy (eV per atom) = 0.35


Cd2SiRuPb | GGA-PBEsol | optimized geometry Values from VASP.

Geometry as Quantum ESPRESSO input:
```
&SYSTEM
  ibrav = 0, nat = 5, ntyp = 4
/
ATOMIC_SPECIES
Cd 112.41 Cd.upf
Si 28.09 Si.upf
Ru 101.07 Ru.upf
Pb 207.20 Pb.upf
ATOMIC_POSITIONS crystal
Cd 0.0000 0.5000 0.0000
Cd 0.5000 0.0000 0.0000
Si 0.0000 0.0000 0.5000
Ru 0.0000 0.0000 0.0000
Pb 0.5000 0.5000 0.5000
CELL_PARAMETERS angstrom
5.1523 0.0000 0.0000
0.0000 5.1523 0.0000
0.0000 0.0000 4.4619
```

Calculated values
- uncorrected energy (eV/f.u.) = -20.61
- uncorrected formation energy (eV/atom) = 0.340


CdPb3S | GGA-PBEsol | optimized geometry Values from VASP.

Geometry as Quantum ESPRESSO input:
```
&SYSTEM
  ibrav = 0, nat = 5, ntyp = 3
/
ATOMIC_SPECIES
Cd 112.41 Cd.upf
Pb 207.20 Pb.upf
S 32.06 S.upf
ATOMIC_POSITIONS crystal
Cd 0.0000 0.0000 0.0000
Pb 0.0000 0.5000 0.5000
Pb 0.5000 0.0000 0.5000
Pb 0.5000 0.5000 0.0000
S 0.5000 0.5000 0.5000
CELL_PARAMETERS angstrom
5.4284 0.0000 0.0000
0.0000 5.4284 0.0000
0.0000 0.0000 5.4284
```

Calculated values
- uncorrected energy (eV/f.u.) = -16.38
- uncorrected formation energy (eV/atom) = 0.240